VASP calculation (PBE) on an optimized crystal structure of ZrTiMnIr.

```
data_ZrTiMnIr
_chemical_formula_sum 'Zr4 Ti4 Mn4 Ir4'
_cell_length_a 6.3117
_cell_length_b 6.3117
_cell_length_c 6.3117
_cell_angle_alpha 90.00
_cell_angle_beta 90.00
_cell_angle_gamma 90.00
_symmetry_space_group_name_H-M 'F -4 3 m'
_symmetry_Int_Tables_number 216
_symmetry_space_group_name_Hall 'F -4 2 3'
loop_
_atom_site_label
_atom_site_type_symbol
_atom_site_fract_x
_atom_site_fract_y
_atom_site_fract_z
Zr1 Zr 0.0000 0.0000 0.0000
Ti1 Ti 0.0000 0.0000 0.5000
Mn1 Mn 0.2500 0.2500 0.7500
Ir1 Ir 0.2500 0.2500 0.2500
```

Properties
Electronic total energy, hartree per atom: -0.3363
Energy of formation, kcal/mol of atoms: -12.3
Density of states at the Fermi level, states/eV/f.u.: 1.46